[1]
Compound: InTcBr2
Source: Alexandria
Functional: PBE-GGA
Structure: relaxed

Lattice parameters (Å, degrees): 3.417 4.951 13.049 90.00 90.00 90.00
Fractional coordinates of all 8 atoms:
In 0.000 0.000 0.000
In 0.500 0.500 0.500
Tc 0.000 0.500 0.687
Tc 0.500 0.000 0.187
Br 0.000 0.000 0.355
Br 0.000 0.500 0.153
Br 0.500 0.000 0.653
Br 0.500 0.500 0.855

Output
E_form (uncorrected) = 29.63 kJ per mole of atoms
offset from the most stable computed form = 379 meV/atom
SG = Imm2, No. 44
magnetization = 4.02 μB/f.u.
density = 5.6 g/cm3

***

[2]
Compound: AgHgBiPd
Source: Alexandria
Functional: PBE-GGA
Structure: relaxed

Lattice parameters (Å, degrees): 6.970 6.970 6.970 90.00 90.00 90.00
Fractional coordinates of all 16 atoms:
Ag 0.000 0.000 0.000
Ag 0.000 0.500 0.500
Ag 0.500 0.000 0.500
Ag 0.500 0.500 0.000
Hg 0.250 0.250 0.750
Hg 0.250 0.750 0.250
Hg 0.750 0.250 0.250
Hg 0.750 0.750 0.750
Bi 0.250 0.250 0.250
Bi 0.250 0.750 0.750
Bi 0.750 0.250 0.750
Bi 0.750 0.750 0.250
Pd 0.000 0.000 0.500
Pd 0.000 0.500 0.000
Pd 0.500 0.000 0.000
Pd 0.500 0.500 0.500

Output
SG = F-43m, No. 216
magnetization = 0.00 μB/f.u.
density = 12.2 g/cm3
energy of formation = 0.03 eV/atom

***

[3]
Compound: NaTlCdSi2
Source: Alexandria
Functional: PBE-GGA
Structure: relaxed

Lattice parameters (Å, degrees): 5.122 5.122 5.803 90.00 90.00 90.00
Fractional coordinates of all 5 atoms:
Na 0.000 0.000 0.000
Tl 0.500 0.500 0.000
Cd 0.500 0.500 0.500
Si 0.000 0.500 0.500
Si 0.500 0.000 0.500

Output
E_form (uncorrected) = 69.85 kJ per mole of atoms
SG = P4/mmm, No. 123
magnetization = 0.00 μB/f.u.
density = 4.3 g/cm3

***

[4]
Compound: CsTcP3
Source: Alexandria
Functional: PBE-GGA
Structure: relaxed

Lattice parameters (Å, degrees): 4.815 4.815 4.815 90.00 90.00 90.00
Fractional coordinates of all 5 atoms:
Cs 0.000 0.000 0.000
Tc 0.500 0.500 0.500
P 0.000 0.500 0.500
P 0.500 0.000 0.500
P 0.500 0.500 0.000

Output
offset from the most stable computed form = 0 meV/atom
SG = Pm-3m, No. 221
magnetization = 0.00 μB/f.u.
density = 4.8 g/cm3
energy of formation = 0.28 eV/atom

***

[5]
Compound: RbSnAsO5
Source: Alexandria
Functional: PBE-GGA
Structure: relaxed

Lattice parameters (Å, degrees): 6.107 6.107 7.483 105.13 105.13 105.84
Fractional coordinates of all 16 atoms:
Rb 0.158 0.842 0.750
Rb 0.842 0.158 0.250
Sn 0.500 0.500 0.000
Sn 0.500 0.500 0.500
As 0.196 0.804 0.250
As 0.804 0.196 0.750
O 0.099 0.281 0.911
O 0.205 0.610 0.383
O 0.281 0.099 0.411
O 0.390 0.795 0.117
O 0.433 0.567 0.750
O 0.567 0.433 0.250
O 0.610 0.205 0.883
O 0.719 0.901 0.589
O 0.795 0.390 0.617
O 0.901 0.719 0.089

Output
E_form (uncorrected) = -143.77 kJ per mole of atoms
offset from the most stable computed form = 98 meV/atom
SG = C2/c, No. 15
magnetization = 0.00 μB/f.u.
density = 4.9 g/cm3

***

[6]
Compound: VP
Source: Alexandria
Functional: PBE-GGA
Structure: relaxed

Lattice parameters (Å, degrees): 6.646 6.646 6.646 90.00 90.00 90.00
Fractional coordinates of all 12 atoms:
V 0.000 0.250 0.500
V 0.000 0.750 0.500
V 0.250 0.500 0.000
V 0.500 0.000 0.250
V 0.500 0.000 0.750
V 0.750 0.500 0.000
P 0.000 0.500 0.250
P 0.000 0.500 0.750
P 0.250 0.000 0.500
P 0.500 0.250 0.000
P 0.500 0.750 0.000
P 0.750 0.000 0.500

Output
SG = Pm-3n, No. 223
magnetization = 1.93 μB/f.u.
density = 2.8 g/cm3
energy of formation = 0.01 eV/atom

***

[7]
Compound: Bi2RhO6
Source: Alexandria
Functional: PBE-GGA
Structure: relaxed

Lattice parameters (Å, degrees): 8.645 8.645 8.645 152.09 152.09 39.89
Fractional coordinates of all 9 atoms:
Bi 0.178 0.178 0.000
Bi 0.822 0.822 0.000
Rh 0.500 0.500 0.000
O 0.190 0.669 0.000
O 0.250 0.750 0.500
O 0.331 0.331 0.521
O 0.669 0.190 0.000
O 0.750 0.250 0.500
O 0.810 0.810 0.479

Output
E_form (uncorrected) = -64.51 kJ per mole of atoms
offset from the most stable computed form = 35 meV/atom
SG = I-42m, No. 121
magnetization = 0.67 μB/f.u.
density = 7.2 g/cm3

***

[8]
Compound: Pu2TeN
Source: Alexandria
Functional: PBE-GGA
Structure: relaxed

Lattice parameters (Å, degrees): 3.731 13.591 6.720 90.00 90.00 90.00
Fractional coordinates of all 16 atoms:
Pu 0.000 0.153 0.022
Pu 0.000 0.153 0.478
Pu 0.000 0.847 0.522
Pu 0.000 0.847 0.978
Pu 0.500 0.347 0.522
Pu 0.500 0.347 0.978
Pu 0.500 0.653 0.022
Pu 0.500 0.653 0.478
Te 0.000 0.480 0.250
Te 0.000 0.520 0.750
Te 0.500 0.020 0.750
Te 0.500 0.980 0.250
N 0.000 0.256 0.750
N 0.000 0.744 0.250
N 0.500 0.244 0.250
N 0.500 0.756 0.750

Output
E_form (uncorrected) = -82.32 kJ per mole of atoms
offset from the most stable computed form = 230 meV/atom
SG = Cmcm, No. 63
magnetization = 10.98 μB/f.u.
density = 12.3 g/cm3